The following is a PBE with a Hubbard U calculation of Nb2Co2O after structural relaxation, from Alexandria.

Lattice parameters (Å, degrees): 4.2623 4.2623 8.4043 90.00 90.00 90.00
With the nearest neighbours (Å) after each atom.
Space group I4/mmm (No. 139)
One atom of each set of equivalent atoms:
Nb (0.0000, 0.5000, 0.2500) x4  4 Co 2.39
Co (0.0000, 0.0000, 0.1219) x4  1 Co 2.05
O (0.0000, 0.0000, 0.5000) x2  8 Nb 2.99, 10 Co 3.18

## Properties
relative energy among the computed polymorphs	442	meV/atom
DOS at the Fermi energy	0.827	states/eV per atom
volume	153	Å³/cell
total DFT energy (no corrections)	-0.4466	Ry/atom